Density functional theory data (PBE) for YTcAs2 after structural relaxation.

Calculated values
The value obtained for the size of the total moment is 0.000 μB per atom. The calculation puts the excess energy over the best structure of this formula in the dataset at 0 meV per atom. The value obtained for the calculated formation energy is -0.612 eV per atom.

CIF file:
```
data_YTcAs2
_space_group_name_H-M_alt 'R -3 m'
_space_group_IT_number 166
_space_group_name_Hall '-R 3 2"'
_cell_length_a 3.9737
_cell_length_b 3.9737
_cell_length_c 17.3193
_cell_angle_alpha 90.00
_cell_angle_beta 90.00
_cell_angle_gamma 120.00
loop_
_atom_site_label
_atom_site_type_symbol
_atom_site_fract_x
_atom_site_fract_y
_atom_site_fract_z
Y1 Y 0.0000 0.0000 0.0000
Tc1 Tc 0.0000 0.0000 0.5000
As1 As 0.0000 0.0000 0.2340
```